No. 1
A relaxed structure of LaSiBr2. Source: Alexandria via LeMat-Bulk, functional PBE.

The structure in POSCAR format:
```
LaSiBr2
1.0
6.4745 6.0734 5.0487
8.8247 4.3033 2.8108
6.9914 7.2723 1.5903
Si Br La
1 2 1
direct
0.0000 0.0000 0.0000
0.9067 0.9067 0.9067
0.0933 0.0933 0.0933
0.5000 0.5000 0.5000
```

Values from the calculation:
total magnetic moment	0.000	μB/f.u.
DOS(E_F)	2.17	states/eV/f.u.
ΔE_f (raw)	-0.58	eV/atom
uncorrected energy	-0.294	Ry/atom

---

No. 2
A relaxed structure of LaSiBr2. Source: Alexandria via LeMat-Bulk, functional PBE.

The structure in POSCAR format:
```
LaSiBr2
1.0
4.7979 0.0000 0.0000
0.0000 4.7979 0.0000
2.3989 2.3989 10.0935
Si Br La
2 4 2
direct
0.5000 0.5000 0.0000
0.2500 0.7500 0.5000
0.6210 0.1250 0.2500
0.1290 0.6250 0.2500
0.3750 0.3790 0.7500
0.8750 0.8710 0.7500
0.0000 0.0000 0.0000
0.7500 0.2500 0.5000
```

Values from the calculation:
total magnetic moment	0.000	μB/f.u.
DOS(E_F)	4.45	states/eV/f.u.
ΔE_f (raw)	-0.65	eV/atom
uncorrected energy	-0.299	Ry/atom

---

No. 3
A relaxed structure of LaSiBr2. Source: Alexandria via LeMat-Bulk, functional PBE.

The structure in POSCAR format:
```
LaSiBr2
1.0
5.9638 0.0397 -0.0217
2.3873 5.4653 0.0217
-3.9072 -3.1595 3.2125
Br La Si
2 1 1
direct
0.0439 0.0439 0.0000
0.4561 0.4561 0.0000
0.7500 0.2500 0.5000
0.2500 0.7500 0.5000
```

Values from the calculation:
total magnetic moment	0.000	μB/f.u.
DOS(E_F)	1.86	states/eV/f.u.
ΔE_f (raw)	-0.73	eV/atom
uncorrected energy	-0.305	Ry/atom

---

No. 4
A relaxed structure of La2SiBr. Source: Alexandria via LeMat-Bulk, functional PBE.

The structure in POSCAR format:
```
La2SiBr
1.0
-1.1285 2.9734 -2.9859
2.8909 -4.3317 -5.4061
-1.2359 -4.4571 -3.9714
Si Br La
1 1 2
direct
0.5000 0.5000 0.5000
0.0000 0.0000 0.5000
0.0000 0.0000 0.0000
0.5000 0.5000 0.0000
```

Values from the calculation:
total magnetic moment	0.000	μB/f.u.
DOS(E_F)	1.53	states/eV/f.u.
ΔE_f (raw)	-1.09	eV/atom
uncorrected energy	-0.392	Ry/atom

---

No. 5
A relaxed structure of LaSiBr2. Source: Alexandria via LeMat-Bulk, functional PBE.

The structure in POSCAR format:
```
LaSiBr2
1.0
5.3840 0.0000 0.0000
2.6920 4.6627 0.0000
2.6920 1.5542 4.3960
Br La Si
2 1 1
direct
0.0000 0.0000 0.0000
0.2500 0.2500 0.2500
0.5000 0.5000 0.5000
0.7500 0.7500 0.7500
```

Values from the calculation:
total magnetic moment	2.895	μB/f.u.
DOS(E_F)	2.23	states/eV/f.u.
ΔE_f (raw)	-0.44	eV/atom
uncorrected energy	-0.284	Ry/atom

---

No. 6
A relaxed structure of La2Si2Br. Source: Alexandria via LeMat-Bulk, functional PBE.

The structure in POSCAR format:
```
La2Si2Br
1.0
-2.1567 1.5619 3.2260
3.0067 -2.8308 0.6666
6.1180 6.1255 -1.5852
La Si Br
2 2 1
direct
0.8474 0.4236 0.2710
0.1526 0.5764 0.7290
0.3344 0.1672 0.5016
0.6656 0.8328 0.4984
0.0000 0.0000 0.0000
```

Values from the calculation:
total magnetic moment	0.000	μB/f.u.
DOS(E_F)	3.04	states/eV/f.u.
ΔE_f (raw)	-1.07	eV/atom
uncorrected energy	-0.407	Ry/atom

---

No. 7
A relaxed structure of La3SiBr3. Source: Alexandria via LeMat-Bulk, functional PBE.

The structure in POSCAR format:
```
La3SiBr3
1.0
-9.1547 -1.2862 -5.2661
-0.9974 -3.8950 9.8503
2.3752 10.3584 0.5059
La Si Br
12 4 12
direct
0.4900 0.7500 0.0100
0.7500 0.2400 0.2600
0.2400 0.2600 0.7500
0.4800 0.4900 0.2400
0.2600 0.0100 0.0200
0.2400 0.4800 0.4900
0.0100 0.0200 0.2600
0.0100 0.4900 0.7500
0.4900 0.2400 0.4800
0.7500 0.0100 0.4900
0.0200 0.2600 0.0100
0.2600 0.7500 0.2400
0.2500 0.2500 0.2500
0.0000 0.2500 0.5000
0.2500 0.5000 0.0000
0.5000 0.0000 0.2500
0.9961 0.9922 0.7461
0.7539 0.7461 0.2500
0.9922 0.7461 0.9961
0.2500 0.9961 0.5039
0.7461 0.9961 0.9922
0.5039 0.2500 0.9961
0.7461 0.2500 0.7539
0.5039 0.7539 0.5078
0.7539 0.5078 0.5039
0.2500 0.7539 0.7461
0.5078 0.5039 0.7539
0.9961 0.5039 0.2500
```

Values from the calculation:
total magnetic moment	0.000	μB/f.u.
DOS(E_F)	2.74	states/eV/f.u.
ΔE_f (raw)	-1.51	eV/atom
uncorrected energy	-0.376	Ry/atom

---

No. 8
A relaxed structure of LaSiBr3. Source: Alexandria via LeMat-Bulk, functional PBE.

The structure in POSCAR format:
```
LaSiBr3
1.0
-0.4914 -2.0636 -5.4818
-5.1687 -2.4351 1.3800
-2.7555 4.9358 -1.6110
Si Br La
1 3 1
direct
0.5000 0.5000 0.5000
0.0000 0.5000 0.0000
0.0000 0.0000 0.5000
0.5000 0.0000 0.0000
0.0000 0.0000 0.0000
```

Values from the calculation:
total magnetic moment	2.000	μB/f.u.
DOS(E_F)	9.00	states/eV/f.u.
ΔE_f (raw)	-0.66	eV/atom
uncorrected energy	-0.275	Ry/atom

---

No. 9
A relaxed structure of La2SiBr. Source: Alexandria via LeMat-Bulk, functional PBE.

The structure in POSCAR format:
```
La2SiBr
1.0
10.7615 0.0126 0.0074
10.0758 3.7799 0.0074
10.0758 1.8338 3.3053
Br La Si
1 2 1
direct
0.7380 0.7380 0.7380
0.0055 0.0055 0.0055
0.2441 0.2441 0.2441
0.5124 0.5124 0.5124
```

Values from the calculation:
total magnetic moment	0.000	μB/f.u.
DOS(E_F)	2.55	states/eV/f.u.
ΔE_f (raw)	-0.26	eV/atom
uncorrected energy	-0.330	Ry/atom

---

No. 10
A relaxed structure of La2SiBr. Source: Alexandria via LeMat-Bulk, functional PBE.

The structure in POSCAR format:
```
La2SiBr
1.0
-2.1254 3.7303 0.1983
-3.6863 0.2590 2.1946
2.0348 3.2502 7.2430
La Si Br
2 1 1
direct
0.0699 0.0699 0.7904
0.2646 0.2646 0.2062
0.6677 0.6677 0.9969
0.4978 0.4978 0.5065
```

Values from the calculation:
total magnetic moment	0.000	μB/f.u.
DOS(E_F)	2.57	states/eV/f.u.
ΔE_f (raw)	-1.11	eV/atom
uncorrected energy	-0.393	Ry/atom

---

No. 11
A relaxed structure of LaSiBr. Source: Alexandria via LeMat-Bulk, functional PBE.

The structure in POSCAR format:
```
LaSiBr
1.0
5.1440 0.0000 0.0000
2.5720 4.4548 0.0000
2.5720 1.4849 4.2001
Br La Si
1 1 1
direct
0.5000 0.5000 0.5000
0.2500 0.2500 0.2500
0.0000 0.0000 0.0000
```

Values from the calculation:
total magnetic moment	2.027	μB/f.u.
DOS(E_F)	2.92	states/eV/f.u.
ΔE_f (raw)	-0.36	eV/atom
uncorrected energy	-0.321	Ry/atom

---

No. 12
A relaxed structure of La2SiBr. Source: Alexandria via LeMat-Bulk, functional PBE.

The structure in POSCAR format:
```
La2SiBr
1.0
-3.8003 -5.1908 4.0770
7.5665 -1.4785 0.3148
-1.1906 8.3848 4.8794
La Si Br
8 4 4
direct
0.5758 0.8488 0.1255
0.0498 0.2767 0.1255
0.4242 0.1512 0.8745
0.9502 0.7233 0.8745
0.3008 0.5746 0.6238
0.1771 0.9508 0.3762
0.6992 0.4254 0.3762
0.8229 0.0492 0.6238
0.3168 0.0668 0.1335
0.6832 0.9332 0.8665
0.0579 0.8079 0.6157
0.9421 0.1921 0.3843
0.4340 0.6841 0.3681
0.1903 0.4403 0.8805
0.5659 0.3160 0.6319
0.8097 0.5597 0.1195
```

Values from the calculation:
total magnetic moment	0.000	μB/f.u.
DOS(E_F)	2.05	states/eV/f.u.
ΔE_f (raw)	-1.14	eV/atom
uncorrected energy	-0.396	Ry/atom

---

No. 13
A relaxed structure of LaSiBr2. Source: Alexandria via LeMat-Bulk, functional PBE.

The structure in POSCAR format:
```
LaSiBr2
1.0
4.7084 0.0000 0.0000
0.0000 4.7084 0.0000
0.0000 0.0000 4.6476
Br La Si
2 1 1
direct
0.0000 0.0000 0.0000
0.5000 0.5000 0.0000
0.5000 0.0000 0.5000
0.0000 0.5000 0.5000
```

Values from the calculation:
total magnetic moment	0.000	μB/f.u.
DOS(E_F)	3.16	states/eV/f.u.
ΔE_f (raw)	-0.65	eV/atom
uncorrected energy	-0.299	Ry/atom

---

No. 14
A relaxed structure of La2SiBr. Source: Alexandria via LeMat-Bulk, functional PBE.

The structure in POSCAR format:
```
La2SiBr
1.0
8.1675 0.0003 -0.0049
6.1858 5.3332 0.0049
-7.1754 -2.6701 2.8446
Br La Si
1 2 1
direct
0.2040 0.7040 0.5000
0.0299 0.0299 0.0000
0.8123 0.3123 0.5000
0.4538 0.4538 0.0000
```

Values from the calculation:
total magnetic moment	0.001	μB/f.u.
DOS(E_F)	2.74	states/eV/f.u.
ΔE_f (raw)	-0.89	eV/atom
uncorrected energy	-0.377	Ry/atom